VASP calculation (SCAN) on MgZnHg2 at its PBEsol-relaxed geometry.

Values from the calculation:
DOS(E_F): 1.16 states/eV/cell
energy of formation from the pure elements: -36 kJ/mol of formula units
magnetic moment: 0.000 μB per formula unit

a = 3.919 Å, b = 4.444 Å, c = 4.444 Å
α = 90.00°, β = 90.00°, γ = 90.00°
Positions (direct):
Hg (0.000, 0.500, 0.000)
Hg (0.000, 0.000, 0.500)
Zn (0.500, 0.000, 0.000)
Mg (0.500, 0.500, 0.500)